Entry from Alexandria via LeMat-Bulk: Cd2AsSe at its PBEsol-relaxed geometry (meta-GGA SCAN).

POSCAR file:
```
Cd2AsSe
1.0
4.891 0.000 0.000
2.445 4.235 0.000
2.445 1.412 3.993
Cd As Se
2 1 1
direct
0.750 0.750 0.750
0.000 0.000 0.000
0.500 0.500 0.500
0.250 0.250 0.250
```

The calculation puts the offset from the most stable computed form at 6.30 kcal/mol of atoms. The uncorrected formation energy is 0.284 eV per atom.

Entry from Alexandria via LeMat-Bulk: Li2ScPt at its PBEsol-relaxed geometry (meta-GGA SCAN).

POSCAR file:
```
Li2ScPt
1.0
-2.326 -2.805 -0.826
2.835 -2.421 0.239
-0.909 -0.607 4.620
Pt Li Sc
1 2 1
direct
0.500 0.500 0.500
0.000 0.500 0.000
0.500 0.000 0.000
0.000 0.000 0.500
```

The calculation puts the offset from the most stable computed form at 1.54 kcal/mol of atoms. The energy relative to the elements comes out at -2.55 eV per formula unit.